Run 1
A plane-wave DFT calculation with GGA-PBE was carried out for a relaxed structure of HgW2Cl.

Properties
- Total magnetization: 0.00 μB per formula unit
- DOS at the Fermi energy: 6.78 states/eV per cell

Cell and atoms, written as CIF:
```
data_HgW2Cl
_chemical_formula_sum 'Hg2 W4 Cl2'
_symmetry_space_group_name_H-M 'C 1 m 1'
_symmetry_Int_Tables_number 8
_symmetry_space_group_name_Hall 'C -2y'
_cell_length_a 13.114
_cell_length_b 3.124
_cell_length_c 4.919
_cell_angle_alpha 90.00
_cell_angle_beta 97.58
_cell_angle_gamma 90.00
loop_
_atom_site_label
_atom_site_fract_x
_atom_site_fract_y
_atom_site_fract_z
Hg1 0.000 0.000 0.000
W1 0.117 0.000 0.550
W2 0.474 0.000 0.488
Cl1 0.266 0.500 0.433
```

***

Run 2
A plane-wave DFT calculation with GGA-PBE was carried out for a relaxed structure of HgW2Cl.

Properties
- Total magnetization: 0.00 μB per formula unit
- DOS at the Fermi energy: 5.27 states/eV per cell

Cell and atoms, written as CIF:
```
data_HgW2Cl
_chemical_formula_sum 'Hg1 W2 Cl1'
_symmetry_space_group_name_H-M 'P 4/m m m'
_symmetry_Int_Tables_number 123
_symmetry_space_group_name_Hall '-P 4 2'
_cell_length_a 4.819
_cell_length_b 4.819
_cell_length_c 2.943
_cell_angle_alpha 90.00
_cell_angle_beta 90.00
_cell_angle_gamma 90.00
loop_
_atom_site_label
_atom_site_fract_x
_atom_site_fract_y
_atom_site_fract_z
Hg1 0.000 0.000 0.000
W1 0.000 0.500 0.500
Cl1 0.500 0.500 0.000
```

***

Run 3
A plane-wave DFT calculation with GGA-PBE was carried out for a relaxed structure of HgW2Cl.

Properties
- Total magnetization: 0.00 μB per formula unit
- DOS at the Fermi energy: 3.14 states/eV per cell

Cell and atoms, written as CIF:
```
data_HgW2Cl
_chemical_formula_sum 'Hg1 W2 Cl1'
_symmetry_space_group_name_H-M 'P m m 2'
_symmetry_Int_Tables_number 25
_symmetry_space_group_name_Hall 'P 2 -2'
_cell_length_a 2.798
_cell_length_b 4.084
_cell_length_c 7.194
_cell_angle_alpha 90.00
_cell_angle_beta 90.00
_cell_angle_gamma 90.00
loop_
_atom_site_label
_atom_site_fract_x
_atom_site_fract_y
_atom_site_fract_z
Hg1 0.000 0.000 0.000
W1 0.000 0.000 0.425
W2 0.500 0.500 0.252
Cl1 0.500 0.500 0.602
```

***

Run 4
A plane-wave DFT calculation with GGA-PBE was carried out for a relaxed structure of HgW2Cl.

Properties
- Total magnetization: 0.00 μB per formula unit
- DOS at the Fermi energy: 4.72 states/eV per cell

Cell and atoms, written as CIF:
```
data_HgW2Cl
_chemical_formula_sum 'Hg1 W2 Cl1'
_symmetry_space_group_name_H-M 'P 4 m m'
_symmetry_Int_Tables_number 99
_symmetry_space_group_name_Hall 'P 4 -2'
_cell_length_a 3.014
_cell_length_b 3.014
_cell_length_c 9.092
_cell_angle_alpha 90.00
_cell_angle_beta 90.00
_cell_angle_gamma 90.00
loop_
_atom_site_label
_atom_site_fract_x
_atom_site_fract_y
_atom_site_fract_z
Hg1 0.000 0.000 0.000
W1 0.000 0.000 0.423
W2 0.500 0.500 0.243
Cl1 0.500 0.500 0.621
```

***

The most stable arrangement is run 4, and the next structure is 0.236 eV/atom less stable.

***

Run 1
A plane-wave DFT calculation with GGA-PBE was carried out for a relaxed structure of HgW2Cl.

Properties
- Total magnetization: 0.00 μB per formula unit
- DOS at the Fermi energy: 4.94 states/eV per cell

Cell and atoms, written as CIF:
```
data_HgW2Cl
_chemical_formula_sum 'Hg2 W4 Cl2'
_symmetry_space_group_name_H-M 'I m m m'
_symmetry_Int_Tables_number 71
_symmetry_space_group_name_Hall '-I 2 2'
_cell_length_a 2.804
_cell_length_b 5.261
_cell_length_c 9.603
_cell_angle_alpha 90.00
_cell_angle_beta 90.00
_cell_angle_gamma 90.00
loop_
_atom_site_label
_atom_site_fract_x
_atom_site_fract_y
_atom_site_fract_z
Hg1 0.000 0.000 0.000
W1 0.000 0.500 0.231
Cl1 0.000 0.000 0.500
```

***

Run 2
A plane-wave DFT calculation with GGA-PBE was carried out for a relaxed structure of HgW2Cl.

Properties
- Total magnetization: 0.00 μB per formula unit
- DOS at the Fermi energy: 3.57 states/eV per cell

Cell and atoms, written as CIF:
```
data_HgW2Cl
_chemical_formula_sum 'Hg1 W2 Cl1'
_symmetry_space_group_name_H-M 'P m m m'
_symmetry_Int_Tables_number 47
_symmetry_space_group_name_Hall '-P 2 2'
_cell_length_a 3.030
_cell_length_b 4.385
_cell_length_c 6.413
_cell_angle_alpha 90.00
_cell_angle_beta 90.00
_cell_angle_gamma 90.00
loop_
_atom_site_label
_atom_site_fract_x
_atom_site_fract_y
_atom_site_fract_z
Hg1 0.000 0.000 0.000
W1 0.500 0.500 0.180
Cl1 0.000 0.000 0.500
```

***

The most stable arrangement is run 1, and the next structure is 0.391 eV/atom less stable.